# 1
! NiGe2Pd PBE relaxed; values from VASP
&SYSTEM
  ibrav = 0, nat = 8, ntyp = 3
/
ATOMIC_SPECIES
Ge 72.64 Ge.upf
Ni 58.69 Ni.upf
Pd 106.42 Pd.upf
ATOMIC_POSITIONS crystal
Ge 0.500 0.446 0.076
Ge 0.500 0.927 0.421
Ge 0.000 0.554 0.576
Ge 0.000 0.073 0.921
Ni 0.000 0.749 0.192
Ni 0.500 0.251 0.692
Pd 0.000 0.240 0.311
Pd 0.500 0.760 0.811
CELL_PARAMETERS angstrom
-2.732 0.187 2.060
3.297 -1.371 4.496
1.154 6.005 0.985
! SG = Pmn2_1, No. 31
! Energy above the most stable polymorph in this dataset = 29 meV/atom
! Total energy = -5.345 eV per atom

***

# 2
! Sr3Sn2W2 PBE relaxed; values from VASP
&SYSTEM
  ibrav = 0, nat = 7, ntyp = 3
/
ATOMIC_SPECIES
Sn 118.71 Sn.upf
Sr 87.62 Sr.upf
W 183.84 W.upf
ATOMIC_POSITIONS crystal
Sn 0.133 0.133 0.000
Sn 0.867 0.867 0.000
Sr 0.319 0.319 0.000
Sr 0.681 0.681 0.000
Sr 0.000 0.500 0.500
W 0.560 0.060 0.500
W 0.440 0.940 0.500
CELL_PARAMETERS angstrom
9.583 2.475 1.888
5.682 8.084 1.972
-8.173 -5.720 1.414
! SG = Immm, No. 71
! Total energy = -5.311 eV per atom

***

# 3
! Cd2Sn2Sb3As PBE relaxed; values from VASP
&SYSTEM
  ibrav = 0, nat = 8, ntyp = 4
/
ATOMIC_SPECIES
As 74.92 As.upf
Cd 112.41 Cd.upf
Sb 121.76 Sb.upf
Sn 118.71 Sn.upf
ATOMIC_POSITIONS crystal
As 0.126 0.874 0.000
Cd 0.008 0.234 0.360
Cd 0.766 0.992 0.640
Sb 0.874 0.625 0.253
Sb 0.624 0.376 0.500
Sb 0.375 0.126 0.747
Sn 0.243 0.515 0.117
Sn 0.485 0.757 0.883
CELL_PARAMETERS angstrom
-4.842 -4.365 4.428
1.408 -6.226 4.621
1.618 5.712 2.682
! SG = C2, No. 5
! Total energy = -3.416 eV per atom

***

# 4
! Lu3Al PBE relaxed; values from VASP
&SYSTEM
  ibrav = 0, nat = 4, ntyp = 2
/
ATOMIC_SPECIES
Al 26.98 Al.upf
Lu 174.97 Lu.upf
ATOMIC_POSITIONS crystal
Al 0.000 0.000 0.000
Lu 0.500 0.500 0.000
Lu 0.750 0.250 0.500
Lu 0.250 0.750 0.500
CELL_PARAMETERS angstrom
4.168 3.940 1.096
-2.039 5.468 0.227
-1.588 -5.031 2.505
! SG = I4/mmm, No. 139
! Total energy = -4.473 eV per atom

***

# 5
! RbCoReAu PBE relaxed; values from VASP
&SYSTEM
  ibrav = 0, nat = 4, ntyp = 4
/
ATOMIC_SPECIES
Au 196.97 Au.upf
Co 58.93 Co.upf
Rb 85.47 Rb.upf
Re 186.21 Re.upf
ATOMIC_POSITIONS crystal
Au 0.750 0.750 0.750
Co 0.250 0.250 0.250
Rb 0.500 0.500 0.500
Re 0.000 0.000 0.000
CELL_PARAMETERS angstrom
4.658 -0.594 1.014
1.472 -3.951 2.303
2.561 -3.328 -2.334
! SG = F-43m, No. 216
! Energy above the most stable polymorph in this dataset = 0 meV/atom
! Total energy = -4.316 eV per atom

***

# 6
! DyGa2FePd4 PBE relaxed; values from VASP
&SYSTEM
  ibrav = 0, nat = 8, ntyp = 4
/
ATOMIC_SPECIES
Dy 162.50 Dy.upf
Fe 55.84 Fe.upf
Ga 69.72 Ga.upf
Pd 106.42 Pd.upf
ATOMIC_POSITIONS crystal
Dy 0.000 0.000 0.000
Fe 0.500 0.500 0.500
Ga 0.500 0.500 0.000
Ga 0.000 0.000 0.500
Pd 0.500 0.000 0.278
Pd 0.000 0.500 0.278
Pd 0.500 0.000 0.722
Pd 0.000 0.500 0.722
CELL_PARAMETERS angstrom
-2.442 3.451 1.132
-3.376 -1.654 -2.241
-2.038 -3.232 5.455
! SG = P4/mmm, No. 123
! Total energy = -5.515 eV per atom

***

# 7
! HfScCo2 PBE relaxed; values from VASP
&SYSTEM
  ibrav = 0, nat = 4, ntyp = 3
/
ATOMIC_SPECIES
Co 58.93 Co.upf
Hf 178.49 Hf.upf
Sc 44.96 Sc.upf
ATOMIC_POSITIONS crystal
Co 0.500 0.500 0.500
Co 0.750 0.750 0.750
Hf 0.250 0.250 0.250
Sc 0.000 0.000 0.000
CELL_PARAMETERS angstrom
2.198 1.269 3.590
-2.198 1.269 3.590
0.000 -2.538 3.590
! SG = F-43m, No. 216
! Energy above the most stable polymorph in this dataset = 462 meV/atom
! Total energy = -7.568 eV per atom
! Energy of formation from the pure elements = 56 meV/atom

***

# 8
! TbBeIr PBE relaxed; values from VASP
&SYSTEM
  ibrav = 0, nat = 3, ntyp = 3
/
ATOMIC_SPECIES
Be 9.01 Be.upf
Ir 192.22 Ir.upf
Tb 158.93 Tb.upf
ATOMIC_POSITIONS crystal
Be 0.000 0.000 0.000
Ir 0.250 0.250 0.250
Tb 0.750 0.750 0.750
CELL_PARAMETERS angstrom
0.000 2.990 2.990
2.990 0.000 2.990
2.990 2.990 0.000
! SG = F-43m, No. 216
! Energy above the most stable polymorph in this dataset = 0 meV/atom
! Total energy = -5.985 eV per atom

***

# 9
! Nb2Co3Si PBE relaxed; values from VASP
&SYSTEM
  ibrav = 0, nat = 12, ntyp = 3
/
ATOMIC_SPECIES
Co 58.93 Co.upf
Nb 92.91 Nb.upf
Si 28.09 Si.upf
ATOMIC_POSITIONS crystal
Co 0.339 0.170 0.250
Co 0.830 0.170 0.250
Co 0.830 0.661 0.250
Co 0.170 0.339 0.750
Co 0.170 0.830 0.750
Co 0.661 0.830 0.750
Nb 0.333 0.667 0.060
Nb 0.333 0.667 0.440
Nb 0.667 0.333 0.560
Nb 0.667 0.333 0.940
Si 0.000 0.000 0.000
Si 0.000 0.000 0.500
CELL_PARAMETERS angstrom
-0.765 -4.617 1.251
4.425 1.925 0.429
-1.629 2.177 7.040
! SG = P6_3/mmc, No. 194
! Total energy = -8.275 eV per atom

***

# 10
! NpBr PBE relaxed; values from VASP
&SYSTEM
  ibrav = 0, nat = 2, ntyp = 2
/
ATOMIC_SPECIES
Br 79.90 Br.upf
Np 237.00 Np.upf
ATOMIC_POSITIONS crystal
Br 0.000 0.000 0.000
Np 0.500 0.500 0.500
CELL_PARAMETERS angstrom
-2.437 -2.474 -2.169
-4.009 0.790 -0.261
-1.605 1.295 -3.537
! SG = Fm-3m, No. 225
! Total energy = -7.530 eV per atom

***

# 11
! BaTc2O4 PBE relaxed; values from VASP
&SYSTEM
  ibrav = 0, nat = 14, ntyp = 3
/
ATOMIC_SPECIES
Ba 137.33 Ba.upf
O 16.00 O.upf
Tc 98.00 Tc.upf
ATOMIC_POSITIONS crystal
Ba 0.000 0.000 0.000
Ba 0.750 0.500 0.250
O 0.208 0.805 0.403
O 0.597 0.195 0.403
O 0.597 0.805 0.403
O 0.153 0.305 0.458
O 0.597 0.195 0.792
O 0.153 0.695 0.847
O 0.542 0.695 0.847
O 0.153 0.305 0.847
Tc 0.375 0.750 0.125
Tc 0.375 0.750 0.625
Tc 0.375 0.250 0.625
Tc 0.875 0.250 0.625
CELL_PARAMETERS angstrom
-5.653 3.043 1.557
5.747 2.360 2.244
-1.495 0.500 -6.415
! SG = Fd-3m, No. 227
! Total energy = -7.431 eV per atom

***

# 12
! CsZrAuSe3 PBE relaxed; values from VASP
&SYSTEM
  ibrav = 0, nat = 24, ntyp = 4
/
ATOMIC_SPECIES
Au 196.97 Au.upf
Cs 132.91 Cs.upf
Se 78.96 Se.upf
Zr 91.22 Zr.upf
ATOMIC_POSITIONS crystal
Au 0.081 0.750 0.175
Au 0.581 0.750 0.325
Au 0.419 0.250 0.675
Au 0.919 0.250 0.825
Cs 0.428 0.250 0.156
Cs 0.928 0.250 0.344
Cs 0.072 0.750 0.656
Cs 0.572 0.750 0.844
Se 0.681 0.250 0.009
Se 0.032 0.250 0.082
Se 0.737 0.750 0.208
Se 0.237 0.750 0.292
Se 0.532 0.250 0.418
Se 0.181 0.250 0.491
Se 0.819 0.750 0.509
Se 0.468 0.750 0.582
Se 0.763 0.250 0.708
Se 0.263 0.250 0.792
Se 0.968 0.750 0.918
Se 0.319 0.750 0.991
Zr 0.823 0.750 0.068
Zr 0.323 0.750 0.432
Zr 0.677 0.250 0.568
Zr 0.177 0.250 0.932
CELL_PARAMETERS angstrom
9.755 0.000 0.000
0.000 4.072 0.000
0.000 0.000 17.103
! SG = Pnma, No. 62
! Energy above the most stable polymorph in this dataset = 107 meV/atom
! Total energy = -4.797 eV per atom